Ti6InTc: relaxed, GGA-PBE.

* V: 411.9 Å³/cell
* spin magnetization: 14.14 μB/cell
* ρ: 6.05 Mg/m³
* E: -184.50 eV/cell
* density of states at the Fermi level: 34.94 states/eV/cell

Lattice parameters (Å, degrees): 4.6193 4.6193 22.2881 90.00 90.00 120.00
Space group R-3m (No. 166, hexagonal axes)
One atom of each set of equivalent atoms:
Ti (0.0000, 0.0000, 0.1141) x6
Ti (0.0000, 0.0000, 0.2470) x6
Ti (0.0000, 0.0000, 0.3680) x6
In (0.0000, 0.0000, 0.5000) x3
Tc (0.0000, 0.0000, 0.0000) x3

Ti2In2Tc: relaxed, GGA-PBE.

* V: 185.8 Å³/cell
* spin magnetization: 0.00 μB/cell
* ρ: 7.57 Mg/m³
* E: -61.66 eV/cell
* density of states at the Fermi level: 6.15 states/eV/cell

Lattice parameters (Å, degrees): 7.1556 7.1556 3.6286 90.00 90.00 90.00
Space group P4/mbm (No. 127)
One atom of each set of equivalent atoms:
Ti (0.1695, 0.3305, 0.0000) x4
In (0.1363, 0.6363, 0.5000) x4
Tc (0.0000, 0.0000, 0.5000) x2

TiIn2Tc2: relaxed, GGA-PBE.

* V: 186.5 Å³/cell
* spin magnetization: 0.00 μB/cell
* ρ: 8.43 Mg/m³
* E: -66.61 eV/cell
* density of states at the Fermi level: 6.06 states/eV/cell

Lattice parameters (Å, degrees): 6.5058 6.5058 4.4054 90.00 90.00 90.00
Space group P4/mbm (No. 127)
One atom of each set of equivalent atoms:
Ti (0.0000, 0.0000, 0.0000) x2
In (0.1719, 0.3281, 0.5000) x4
Tc (0.1350, 0.6350, 0.0000) x4

TiInTc: relaxed, GGA-PBE.

* V: 103.1 Å³/cell
* energy above the lowest structure with this stoichiometry: 0.0000 eV per atom
* spin magnetization: 0.00 μB/cell
* ρ: 8.40 Mg/m³
* density of states at the Fermi level: 0.51 states/eV/cell

Lattice parameters (Å, degrees): 3.3138 3.3138 9.3902 90.00 90.00 90.00
Space group I4mm (No. 107)
One atom of each set of equivalent atoms:
Ti (0.0000, 0.0000, 0.0000) x2
In (0.0000, 0.0000, 0.6910) x2
Tc (0.0000, 0.0000, 0.3741) x2